Entry from Alexandria via LeMat-Bulk: a geometry-optimized AcCdCuIr structure (PBE-GGA).

Total DFT energy (no corrections) (eV/cell): -18.20
Calculated density (g/cm3): 11.18
Space-group type: F-43m
Fermi-level density of states (states/eV/atom): 0.711
Formation energy from the elements (kJ/mol of formula units): -21

Cell: 5.000 5.000 5.000 Å, 60.00 60.00 60.00°
Fractional positions:
Ac (0.000, 0.000, 0.000)
Cd (0.500, 0.500, 0.500)
Cu (0.250, 0.250, 0.250)
Ir (0.750, 0.750, 0.750)

Entry from Alexandria via LeMat-Bulk: a geometry-optimized Mn2Ge2Ir structure (PBE-GGA).

Total DFT energy (no corrections) (eV/cell): -73.47
Calculated density (g/cm3): 9.78
Space-group type: P4/mbm
Fermi-level density of states (states/eV/atom): 0.418
Formation energy from the elements (kJ/mol of formula units): -29

Cell: 6.383 6.383 3.729 Å, 90.00 90.00 90.00°
Fractional positions:
Mn (0.161, 0.339, 0.000)
Mn (0.339, 0.839, 0.000)
Mn (0.661, 0.161, 0.000)
Mn (0.839, 0.661, 0.000)
Ge (0.141, 0.641, 0.500)
Ge (0.359, 0.141, 0.500)
Ge (0.641, 0.859, 0.500)
Ge (0.859, 0.359, 0.500)
Ir (0.000, 0.000, 0.500)
Ir (0.500, 0.500, 0.500)

Q: The lowest formation energy from the elements belongs to which entry?
A: Mn2Ge2Ir

Q: The lowest formation energy from the elements belongs to which entry?
A: Mn2Ge2Ir

Please write out number 1 again, unchanged.
Entry from Alexandria via LeMat-Bulk: a geometry-optimized AcCdCuIr structure (PBE-GGA).

Total DFT energy (no corrections) (eV/cell): -18.20
Calculated density (g/cm3): 11.18
Space-group type: F-43m
Fermi-level density of states (states/eV/atom): 0.711
Formation energy from the elements (kJ/mol of formula units): -21

Cell: 5.000 5.000 5.000 Å, 60.00 60.00 60.00°
Fractional positions:
Ac (0.000, 0.000, 0.000)
Cd (0.500, 0.500, 0.500)
Cu (0.250, 0.250, 0.250)
Ir (0.750, 0.750, 0.750)